This record from Alexandria describes crystalline SbH12C2N6F5 at its relaxed geometry. The functional is PBEsol.

```
SbH12C2N6F5
1.0
8.402 0.000 0.000
-4.201 7.824 -0.047
0.000 -5.003 8.267
Sb H C N F
2 24 4 12 10
direct
0.655 0.309 0.141 Sb
0.345 0.691 0.859 Sb
0.218 0.223 0.231 H
0.005 0.223 0.231 H
0.782 0.777 0.769 H
0.995 0.777 0.769 H
0.725 0.739 0.168 H
0.014 0.739 0.168 H
0.275 0.261 0.832 H
0.986 0.261 0.832 H
0.739 0.958 0.195 H
0.219 0.958 0.195 H
0.261 0.042 0.805 H
0.781 0.042 0.805 H
0.845 0.477 0.867 H
0.632 0.477 0.867 H
0.155 0.523 0.133 H
0.368 0.523 0.133 H
0.508 0.298 0.449 H
0.791 0.298 0.449 H
0.492 0.702 0.551 H
0.209 0.702 0.551 H
0.445 0.374 0.633 H
0.929 0.374 0.633 H
0.555 0.626 0.367 H
0.071 0.626 0.367 H
0.984 0.969 0.193 C
0.016 0.031 0.807 C
0.685 0.370 0.646 C
0.315 0.630 0.354 C
0.076 0.151 0.213 N
0.924 0.849 0.787 N
0.801 0.879 0.182 N
0.078 0.879 0.182 N
0.199 0.121 0.818 N
0.922 0.121 0.818 N
0.717 0.433 0.806 N
0.283 0.567 0.194 N
0.531 0.337 0.569 N
0.807 0.337 0.569 N
0.469 0.663 0.431 N
0.193 0.663 0.431 N
0.764 0.527 0.368 F
0.236 0.473 0.632 F
0.772 0.202 0.237 F
0.430 0.202 0.237 F
0.228 0.798 0.763 F
0.570 0.798 0.763 F
0.578 0.500 0.136 F
0.922 0.500 0.136 F
0.422 0.500 0.864 F
0.078 0.500 0.864 F
```

Summary:
- VASP energy (eV/atom) = -5.71
- magnetization (μB/cell) = 0.0
- D(E_F) (states/eV per atom) = 0.00